DFT (GGA+U) results for an optimized crystal structure of Tl2Cr2RhO6.

The calculation puts the size of the total moment at 4.97 μB per formula unit. As for the total DFT energy (no corrections): -70.27 eV/f.u. The calculation puts the volume at 317.04 Å³ per cell. Its crystal system is monoclinic.

It has space group C2/m (No. 12), with a = 5.316 Å, b = 9.229 Å, c = 6.692 Å, α = 90.00°, β = 105.07° and γ = 90.00°. The asymmetric unit holds Tl at (0.000, 0.166, 0.000), Cr at (0.000, 0.334, 0.500), Rh at (0.000, 0.000, 0.500), O at (0.217, 0.169, 0.657) and O at (0.218, 0.500, 0.659).